# 1
Here is a relaxed structure of DyTh7 from Alexandria via LeMat-Bulk. Energies are from PBE.

Calculated values
For the spin magnetization, the calculation gives 0.0 Bohr magnetons per cell. The formation energy comes out at 0.02 eV per atom. The density of states at the Fermi level comes out at 38.298 states/eV/cell. Its total energy is -7.05 eV per atom.

Cell: 10.0773 10.0773 10.0773 Å, 90.00 90.00 90.00°
Last column: nearest neighbours and their distance in Å.
Space group Fm-3m (No. 225)
One atom of each set of equivalent atoms:
Dy  0.0000  0.0000  0.0000  12 Th 3.56
Th  0.0000  0.0000  0.5000  12 Th 3.56
Th  0.0000  0.2500  0.2500  10 Th 3.56, 2 Dy 3.56

# 2
Here is a relaxed structure of La4Tb2SmEr from Alexandria via LeMat-Bulk. Energies are from PBE.

Calculated values
For the spin magnetization, the calculation gives 0.0 Bohr magnetons per cell. The formation energy comes out at 0.08 eV per atom. The density of states at the Fermi level comes out at 13.549 states/eV/cell. Its total energy is -4.70 eV per atom.

Cell: 5.9985 5.9891 7.7226 Å, 90.00 90.03 90.00°
Last column: nearest neighbours and their distance in Å.
Space group P2/m (No. 10)
One atom of each set of equivalent atoms:
La  0.0001  0.0000  0.2435  2 Er 3.54, 4 Tb 3.54-3.59, 2 Sm 3.59-3.60, 1 La 3.76
La  0.4985  0.5000  0.7563  2 Er 3.53-3.55, 4 Tb 3.54-3.60, 2 Sm 3.59, 1 La 3.76
Tb  0.0000  0.5000  0.5000  8 La 3.59-3.60, 2 Er 3.86
Tb  0.5000  0.0000  0.0000  8 La 3.54, 2 Sm 3.86
Sm  0.5000  0.0000  0.5000  8 La 3.59-3.60, 2 Tb 3.86
Er  0.0000  0.5000  0.0000  8 La 3.53-3.55, 2 Tb 3.86

# 3
Here is a relaxed structure of CdTcBrO4 from Alexandria via LeMat-Bulk. Energies are from PBE.

Calculated values
For the spin magnetization, the calculation gives 0.0 Bohr magnetons per cell. The calculation puts the formation energy from raw total energies at -1.235 eV per atom. The density of states at the Fermi level comes out at 0.000 states/eV/cell. Its total energy is -5.92 eV per atom.

Cell: 10.0458 7.5441 9.5765 Å, 90.00 119.15 90.00°
Last column: nearest neighbours and their distance in Å.
Space group C2/m (No. 12)
One atom of each set of equivalent atoms:
Cd  0.1661  0.0000  0.1976  4 O 2.31-2.41
Tc  0.1221  0.5000  0.3280  4 O 1.74-1.75
Br  0.1382  0.0000  0.9092  2 Cd 2.64-2.71
O  0.0619  0.5000  0.6977  1 Tc 1.74
O  0.1504  0.3131  0.2397  1 Tc 1.74
O  0.2450  0.0000  0.4684  1 Tc 1.75

# 4
Here is a relaxed structure of TbErS from Alexandria via LeMat-Bulk. Energies are from PBE.

Calculated values
For the spin magnetization, the calculation gives 0.0 Bohr magnetons per cell. The calculation puts the formation energy from raw total energies at -1.274 eV per atom. The density of states at the Fermi level comes out at 4.850 states/eV/cell. Its total energy is -5.71 eV per atom.

Cell: 3.7771 3.7771 18.5991 Å, 90.00 90.00 120.00°
Last column: nearest neighbours and their distance in Å.
Space group R3m (No. 160, hexagonal axes)
One atom of each set of equivalent atoms:
Tb  0.0000  0.0000  0.0000  3 S 2.73
Er  0.0000  0.0000  0.4938  3 S 2.69
S  0.0000  0.0000  0.2450  3 Er 2.69, 3 Tb 2.73